A relaxed Nb3PRu crystal, computed with PBE-GGA.

The structure in POSCAR format:
```
Nb3PRu
1.0
-0.547 -1.809 -4.402
3.702 -2.946 0.751
-2.990 -3.316 1.735
Ru Nb P
1 3 1
Direct
0.000 0.000 0.000 Ru
0.000 0.500 0.000 Nb
0.000 0.000 0.500 Nb
0.500 0.000 0.000 Nb
0.500 0.500 0.500 P
```

* space-group type: Pm-3m (221)
* formation energy: 107.7 kJ per mole of atoms
* distance to the lowest polymorph of the same formula: 713 meV/atom

A relaxed BaRhPb2 crystal, computed with PBE-GGA.

The structure in POSCAR format:
```
BaRhPb2
1.0
-3.627 -2.513 -3.815
5.586 0.109 -1.673
0.569 -3.334 1.636
Ba Rh Pb
1 1 2
Direct
0.500 0.500 0.500 Ba
0.000 0.000 0.500 Rh
0.000 0.500 0.000 Pb
0.500 0.000 0.000 Pb
```

* space-group type: C2/m (12)
* formation energy: 16.5 kJ per mole of atoms

A relaxed TmPuH2O6 crystal, computed with PBE-GGA.

The structure in POSCAR format:
```
TmPuH2O6
1.0
-0.613 2.702 4.684
1.481 -2.083 5.007
4.785 2.316 2.432
Tm Pu H O
1 1 2 6
Direct
0.816 0.816 0.552 Tm
0.316 0.316 0.051 Pu
0.424 0.733 0.287 H
0.209 0.899 0.816 H
0.552 0.202 0.275 O
0.224 0.907 0.301 O
0.953 0.543 0.286 O
0.408 0.725 0.802 O
0.679 0.089 0.817 O
0.081 0.430 0.828 O
```

* space-group type: P-1 (2)

A relaxed PaNiMo2 crystal, computed with PBE-GGA.

The structure in POSCAR format:
```
PaNiMo2
1.0
-1.194 -0.833 2.490
0.444 -2.673 0.990
7.497 1.872 5.893
Ni Mo Pa
1 2 1
Direct
0.500 0.500 0.500 Ni
0.095 0.095 0.714 Mo
0.905 0.905 0.286 Mo
0.000 0.000 0.000 Pa
```

* space-group type: R-3m (166)
* formation energy: 61.7 kJ per mole of atoms

A relaxed Co2Ir4Rh crystal, computed with PBE-GGA.

The structure in POSCAR format:
```
Co2Ir4Rh
1.0
-3.043 3.822 4.325
-3.722 -1.226 -5.217
1.356 -5.884 2.472
Rh Ir Co
2 8 4
Direct
0.000 0.250 0.250 Rh
0.000 0.750 0.750 Rh
0.800 0.810 0.310 Ir
0.200 0.510 0.010 Ir
0.500 0.310 0.510 Ir
0.500 0.010 0.810 Ir
0.500 0.990 0.190 Ir
0.500 0.690 0.490 Ir
0.800 0.490 0.990 Ir
0.200 0.190 0.690 Ir
0.792 0.146 0.646 Co
0.208 0.854 0.354 Co
0.500 0.646 0.854 Co
0.500 0.354 0.146 Co
```

* space-group type: I4/mcm (140)
* formation energy: 39.3 kJ per mole of atoms
* distance to the lowest polymorph of the same formula: 196 meV/atom

A relaxed KMnMo2 crystal, computed with PBE-GGA.

The structure in POSCAR format:
```
KMnMo2
1.0
-1.484 2.423 3.489
1.045 4.366 0.314
-3.178 3.125 -0.620
Mo Mn K
2 1 1
Direct
0.250 0.250 0.250 Mo
0.750 0.750 0.750 Mo
0.500 0.500 0.500 Mn
0.000 0.000 0.000 K
```

* space-group type: Fm-3m (225)
* formation energy: 160.9 kJ per mole of atoms
* distance to the lowest polymorph of the same formula: 914 meV/atom

A relaxed Sm4CoCu crystal, computed with PBE-GGA.

The structure in POSCAR format:
```
Sm4CoCu
1.0
5.901 0.000 -1.806
0.000 6.972 0.000
-0.248 0.000 7.720
Sm Co Cu
8 2 2
Direct
0.559 0.250 0.399 Sm
0.441 0.750 0.601 Sm
0.563 0.250 0.880 Sm
0.437 0.750 0.120 Sm
0.990 0.003 0.266 Sm
0.010 0.503 0.734 Sm
0.990 0.497 0.266 Sm
0.010 0.997 0.734 Sm
0.222 0.250 0.556 Co
0.778 0.750 0.444 Co
0.202 0.250 0.051 Cu
0.798 0.750 0.949 Cu
```

* space-group type: P2_1/m (11)
* formation energy: -7.8 kJ per mole of atoms
* distance to the lowest polymorph of the same formula: 0 meV/atom

A relaxed ZrBe2Au2 crystal, computed with PBE-GGA.

The structure in POSCAR format:
```
ZrBe2Au2
1.0
-6.999 0.029 1.922
1.842 -1.979 6.736
0.214 2.714 0.739
Be Au Zr
4 4 2
Direct
0.381 0.881 0.000 Be
0.881 0.619 0.000 Be
0.619 0.119 0.000 Be
0.119 0.381 0.000 Be
0.170 0.670 0.500 Au
0.670 0.830 0.500 Au
0.830 0.330 0.500 Au
0.330 0.170 0.500 Au
0.000 0.000 0.000 Zr
0.500 0.500 0.000 Zr
```

* space-group type: P4/mbm (127)
* formation energy: -19.9 kJ per mole of atoms
* distance to the lowest polymorph of the same formula: 9 meV/atom

A relaxed KRh2F6 crystal, computed with PBE-GGA.

The structure in POSCAR format:
```
KRh2F6
1.0
-3.001 4.583 0.968
-4.006 -1.886 -3.490
-0.202 -1.291 5.484
K Rh F
1 2 6
Direct
0.000 0.000 0.000 K
0.500 0.667 0.333 Rh
0.500 0.333 0.667 Rh
0.689 0.638 0.638 F
0.311 0.638 0.000 F
0.311 0.000 0.638 F
0.689 0.362 0.000 F
0.311 0.362 0.362 F
0.689 0.000 0.362 F
```

* space-group type: P-31m (162)
* formation energy (no corrections): -1.680 eV/atom

A relaxed Tm8Ni2Bi crystal, computed with PBE-GGA.

The structure in POSCAR format:
```
Tm8Ni2Bi
1.0
5.350 -0.039 -0.058
-0.937 7.749 -0.137
-0.937 -3.111 7.098
Tm Ni Bi
8 2 1
Direct
0.915 0.923 0.662 Tm
0.915 0.662 0.923 Tm
0.295 0.602 0.602 Tm
0.500 0.748 0.252 Tm
0.500 0.252 0.748 Tm
0.705 0.398 0.398 Tm
0.085 0.338 0.077 Tm
0.085 0.077 0.338 Tm
0.000 0.304 0.696 Ni
0.000 0.696 0.304 Ni
0.500 0.000 0.000 Bi
```

* space-group type: C2/m (12)
* formation energy: -23.4 kJ per mole of atoms

A relaxed Er3Pd2Rh2 crystal, computed with PBE-GGA.

The structure in POSCAR format:
```
Er3Pd2Rh2
1.0
-0.371 -4.415 1.474
2.712 0.988 -3.673
3.887 1.846 6.260
Er Pd Rh
3 2 2
Direct
0.000 0.000 0.000 Er
0.571 0.149 0.719 Er
0.429 0.851 0.281 Er
0.146 0.291 0.438 Pd
0.854 0.709 0.562 Pd
0.712 0.421 0.133 Rh
0.288 0.579 0.867 Rh
```

* space-group type: C2/m (12)
* formation energy: -79.0 kJ per mole of atoms

A relaxed MgBH crystal, computed with PBE-GGA.

The structure in POSCAR format:
```
MgBH
1.0
-1.664 2.310 0.941
-1.359 -2.378 -1.343
-0.541 -3.316 7.180
H Mg B
2 2 2
Direct
0.668 0.336 0.144 H
0.332 0.664 0.856 H
0.000 0.000 0.733 Mg
0.000 0.000 0.267 Mg
0.340 0.681 0.496 B
0.660 0.319 0.504 B
```

* space-group type: C2/m (12)
* distance to the lowest polymorph of the same formula: 0 meV/atom

A relaxed LiMg6Sn crystal, computed with PBE-GGA.

The structure in POSCAR format:
```
LiMg6Sn
1.0
4.454 0.000 0.000
0.000 7.682 -4.399
0.000 -1.589 6.132
Li Mg Sn
1 6 1
Direct
0.000 0.871 0.742 Li
0.000 0.875 0.251 Mg
0.000 0.376 0.251 Mg
0.000 0.374 0.748 Mg
0.500 0.628 0.751 Mg
0.500 0.123 0.751 Mg
0.500 0.123 0.246 Mg
0.500 0.630 0.260 Sn
```

* space-group type: Amm2 (38)
* formation energy: -7.7 kJ per mole of atoms
* distance to the lowest polymorph of the same formula: 0 meV/atom

A relaxed NbInTcAs2 crystal, computed with PBE-GGA.

The structure in POSCAR format:
```
NbInTcAs2
1.0
-4.964 0.724 0.015
-0.650 -4.493 1.853
0.288 1.874 4.644
As Nb Tc In
2 1 1 1
Direct
0.000 0.000 0.500 As
0.500 0.000 0.000 As
0.000 0.000 0.000 Nb
0.000 0.500 0.000 Tc
0.500 0.500 0.500 In
```

* space-group type: P4/mmm (123)
* formation energy: 75.9 kJ per mole of atoms

A relaxed BaAcHoMg crystal, computed with PBE-GGA.

The structure in POSCAR format:
```
BaAcHoMg
1.0
6.015 0.000 0.000
3.007 5.209 0.000
3.007 1.736 4.911
Mg Ac Ho Ba
1 1 1 1
Direct
0.750 0.750 0.750 Mg
0.250 0.250 0.250 Ac
0.000 0.000 0.000 Ho
0.500 0.500 0.500 Ba
```

* space-group type: F-43m (216)
* formation energy: 20.6 kJ per mole of atoms

A relaxed KPb2Br5 crystal, computed with PBE-GGA.

The structure in POSCAR format:
```
KPb2Br5
1.0
-6.589 6.626 -0.293
-6.022 -6.048 -1.361
-7.828 -7.198 11.742
Br K Pb
20 4 8
Direct
0.960 0.762 0.397 Br
0.040 0.557 0.103 Br
0.040 0.238 0.603 Br
0.960 0.443 0.897 Br
0.220 0.046 0.996 Br
0.780 0.038 0.504 Br
0.780 0.954 0.004 Br
0.220 0.962 0.496 Br
0.541 0.758 0.422 Br
0.459 0.601 0.078 Br
0.459 0.242 0.578 Br
0.541 0.399 0.922 Br
0.236 0.095 0.216 Br
0.764 0.528 0.284 Br
0.764 0.905 0.784 Br
0.236 0.472 0.716 Br
0.757 0.165 0.189 Br
0.243 0.542 0.311 Br
0.243 0.835 0.811 Br
0.757 0.458 0.689 Br
0.511 0.875 0.174 K
0.489 0.222 0.326 K
0.489 0.125 0.826 K
0.511 0.778 0.674 K
0.017 0.812 0.175 Pb
0.983 0.162 0.325 Pb
0.983 0.188 0.825 Pb
0.017 0.838 0.675 Pb
0.257 0.437 0.996 Pb
0.743 0.429 0.504 Pb
0.743 0.563 0.004 Pb
0.257 0.571 0.496 Pb
```

* space-group type: P2_1/c (14)
* formation energy (no corrections): -1.123 eV/atom

Number 1: E -39.3 eV for the cell shown, size of the total moment 0.00 μB/cell, mass density 6.21 g cm⁻³. Number 2: E -16.0 eV for the cell shown, size of the total moment 0.00 μB/cell, mass density 9.35 g cm⁻³. Number 3: E -77.6 eV for the cell shown, size of the total moment 1.00 μB/cell, mass density 6.63 g cm⁻³. Number 4: E -34.4 eV for the cell shown, size of the total moment 0.02 μB/cell, mass density 11.59 g cm⁻³. Number 5: E -108.3 eV for the cell shown, size of the total moment 4.99 μB/cell, mass density 15.45 g cm⁻³. Number 6: E -25.3 eV for the cell shown, size of the total moment 0.00 μB/cell, mass density 7.37 g cm⁻³. Number 7: E -61.1 eV for the cell shown, size of the total moment 0.00 μB/cell, mass density 7.65 g cm⁻³. Number 8: E -47.2 eV for the cell shown, size of the total moment 0.00 μB/cell, mass density 11.24 g cm⁻³. Number 9: E -42.1 eV for the cell shown, size of the total moment 1.02 μB/cell, mass density 3.89 g cm⁻³. Number 10: E -53.9 eV for the cell shown, size of the total moment 0.86 μB/cell, mass density 9.57 g cm⁻³. Number 11: E -44.5 eV for the cell shown, size of the total moment 0.00 μB/cell, mass density 11.33 g cm⁻³. Number 12: E -23.5 eV for the cell shown, size of the total moment 0.00 μB/cell, mass density 1.90 g cm⁻³. Number 13: E -16.1 eV for the cell shown, size of the total moment 0.00 μB/cell, mass density 2.52 g cm⁻³. Number 14: E -28.5 eV for the cell shown, size of the total moment 2.12 μB/cell, mass density 6.13 g cm⁻³. Number 15: E -11.3 eV for the cell shown, size of the total moment 0.00 μB/cell, mass density 5.97 g cm⁻³. Number 16: E -103.5 eV for the cell shown, size of the total moment 0.00 μB/cell, mass density 5.28 g cm⁻³.